Here is AlSi2BPt at its PBEsol-relaxed geometry from the Alexandria database. Energies are from SCAN.

CIF file:
```
data_AlSi2BPt
_chemical_formula_sum 'Al1 Si2 B1 Pt1'
_cell_length_a 4.625
_cell_length_b 4.625
_cell_length_c 4.555
_cell_angle_alpha 90.00
_cell_angle_beta 90.00
_cell_angle_gamma 90.00
_symmetry_space_group_name_H-M 'P 4/m m m'
_symmetry_Int_Tables_number 123
_symmetry_space_group_name_Hall '-P 4 2'
loop_
_atom_site_label
_atom_site_type_symbol
_atom_site_fract_x
_atom_site_fract_y
_atom_site_fract_z
Al1 Al 0.000 0.000 0.000
Si1 Si 0.000 0.500 0.000
B1 B 0.500 0.500 0.500
Pt1 Pt 0.000 0.000 0.500
```

=====

Here is CoPRu at its PBEsol-relaxed geometry from the Alexandria database. Energies are from SCAN.

- DFT formation energy: -402 meV per atom

CIF file:
```
data_CoPRu
_chemical_formula_sum 'Co4 P4 Ru4'
_cell_length_a 5.305
_cell_length_b 5.305
_cell_length_c 5.305
_cell_angle_alpha 90.00
_cell_angle_beta 90.00
_cell_angle_gamma 90.00
_symmetry_space_group_name_H-M 'F -4 3 m'
_symmetry_Int_Tables_number 216
_symmetry_space_group_name_Hall 'F -4 2 3'
loop_
_atom_site_label
_atom_site_type_symbol
_atom_site_fract_x
_atom_site_fract_y
_atom_site_fract_z
Co1 Co 0.000 0.000 0.000
P1 P 0.250 0.250 0.250
Ru1 Ru 0.000 0.000 0.500
```

=====

Here is BeAs2Se at its PBEsol-relaxed geometry from the Alexandria database. Energies are from SCAN.

- Energy above the lowest structure with this stoichiometry: 22.57 kcal/mol of atoms

CIF file:
```
data_BeAs2Se
_chemical_formula_sum 'Be4 As8 Se4'
_cell_length_a 6.432
_cell_length_b 6.432
_cell_length_c 6.432
_cell_angle_alpha 90.00
_cell_angle_beta 90.00
_cell_angle_gamma 90.00
_symmetry_space_group_name_H-M 'F -4 3 m'
_symmetry_Int_Tables_number 216
_symmetry_space_group_name_Hall 'F -4 2 3'
loop_
_atom_site_label
_atom_site_type_symbol
_atom_site_fract_x
_atom_site_fract_y
_atom_site_fract_z
Be1 Be 0.000 0.000 0.000
As1 As 0.000 0.000 0.500
As2 As 0.250 0.250 0.250
Se1 Se 0.250 0.250 0.750
```

=====

Here is LiZn2Au at its PBEsol-relaxed geometry from the Alexandria database. Energies are from SCAN.

- DFT formation energy: -450 meV per atom
- Energy above the lowest structure with this stoichiometry: 0.00 kcal/mol of atoms

CIF file:
```
data_LiZn2Au
_chemical_formula_sum 'Li4 Zn8 Au4'
_cell_length_a 6.117
_cell_length_b 6.117
_cell_length_c 6.117
_cell_angle_alpha 90.00
_cell_angle_beta 90.00
_cell_angle_gamma 90.00
_symmetry_space_group_name_H-M 'F m -3 m'
_symmetry_Int_Tables_number 225
_symmetry_space_group_name_Hall '-F 4 2 3'
loop_
_atom_site_label
_atom_site_type_symbol
_atom_site_fract_x
_atom_site_fract_y
_atom_site_fract_z
Li1 Li 0.000 0.000 0.000
Zn1 Zn 0.250 0.250 0.250
Au1 Au 0.000 0.000 0.500
```

=====

Here is HfMoSe2N at its PBEsol-relaxed geometry from the Alexandria database. Energies are from SCAN.

CIF file:
```
data_HfMoSe2N
_chemical_formula_sum 'Hf1 Mo1 Se2 N1'
_cell_length_a 5.174
_cell_length_b 5.174
_cell_length_c 3.870
_cell_angle_alpha 90.00
_cell_angle_beta 90.00
_cell_angle_gamma 90.00
_symmetry_space_group_name_H-M 'P 4/m m m'
_symmetry_Int_Tables_number 123
_symmetry_space_group_name_Hall '-P 4 2'
loop_
_atom_site_label
_atom_site_type_symbol
_atom_site_fract_x
_atom_site_fract_y
_atom_site_fract_z
Hf1 Hf 0.000 0.000 0.000
Mo1 Mo 0.500 0.500 0.500
Se1 Se 0.000 0.500 0.000
N1 N 0.000 0.000 0.500
```

=====

Here is TmGaNi at its PBEsol-relaxed geometry from the Alexandria database. Energies are from SCAN.

- DFT formation energy: -746 meV per atom

CIF file:
```
data_TmGaNi
_chemical_formula_sum 'Tm4 Ga4 Ni4'
_cell_length_a 6.612
_cell_length_b 4.179
_cell_length_c 7.223
_cell_angle_alpha 90.00
_cell_angle_beta 90.00
_cell_angle_gamma 90.00
_symmetry_space_group_name_H-M 'P n m a'
_symmetry_Int_Tables_number 62
_symmetry_space_group_name_Hall '-P 2ac 2n'
loop_
_atom_site_label
_atom_site_type_symbol
_atom_site_fract_x
_atom_site_fract_y
_atom_site_fract_z
Tm1 Tm 0.020 0.250 0.192
Ga1 Ga 0.169 0.250 0.574
Ni1 Ni 0.218 0.750 0.399
```

=====

Here is Zr3PW at its PBEsol-relaxed geometry from the Alexandria database. Energies are from SCAN.

- DFT formation energy: 872 meV per atom

CIF file:
```
data_Zr3PW
_chemical_formula_sum 'Zr3 P1 W1'
_cell_length_a 4.961
_cell_length_b 4.961
_cell_length_c 4.961
_cell_angle_alpha 90.00
_cell_angle_beta 90.00
_cell_angle_gamma 90.00
_symmetry_space_group_name_H-M 'P m -3 m'
_symmetry_Int_Tables_number 221
_symmetry_space_group_name_Hall '-P 4 2 3'
loop_
_atom_site_label
_atom_site_type_symbol
_atom_site_fract_x
_atom_site_fract_y
_atom_site_fract_z
Zr1 Zr 0.000 0.000 0.500
P1 P 0.500 0.500 0.500
W1 W 0.000 0.000 0.000
```

=====

Here is TbAgH2C2SO9 at its PBEsol-relaxed geometry from the Alexandria database. Energies are from SCAN.

CIF file:
```
data_TbAgH2C2SO9
_chemical_formula_sum 'Tb4 Ag4 H8 C8 S4 O36'
_cell_length_a 13.522
_cell_length_b 6.872
_cell_length_c 9.000
_cell_angle_alpha 90.00
_cell_angle_beta 115.90
_cell_angle_gamma 90.00
_symmetry_space_group_name_H-M 'C 1 2/m 1'
_symmetry_Int_Tables_number 12
_symmetry_space_group_name_Hall '-C 2y'
loop_
_atom_site_label
_atom_site_type_symbol
_atom_site_fract_x
_atom_site_fract_y
_atom_site_fract_z
Tb1 Tb 0.245 0.000 0.258
Ag1 Ag 0.081 0.000 0.663
H1 H 0.079 0.500 0.855
H2 H 0.192 0.500 0.021
C1 C 0.000 0.390 0.500
C2 C 0.018 0.000 0.930
S1 S 0.171 0.500 0.299
O1 O 0.054 0.500 0.261
O2 O 0.057 0.000 0.216
O3 O 0.089 0.307 0.594
O4 O 0.120 0.000 0.970
O5 O 0.161 0.500 0.900
O6 O 0.199 0.327 0.224
O7 O 0.240 0.500 0.480
```

=====

Number 1: DFT total energy -97.0 eV per formula unit. Number 2: DFT total energy -63.7 eV per formula unit. Number 3: DFT total energy -62.3 eV per formula unit. Number 4: DFT total energy -100.4 eV per formula unit. Number 5: DFT total energy -146.1 eV per formula unit. Number 6: DFT total energy -86.6 eV per formula unit. Number 7: DFT total energy -167.8 eV per formula unit. Number 8: DFT total energy -198.0 eV per formula unit.